Mg2CrRu: relaxed, GGA-PBE.

Lattice parameters (Å, degrees): 7.1315 7.1315 5.6670 51.01 51.01 90.00
Positions (direct):
Mg1 0.6290 0.1250 0.2500
Mg2 0.8750 0.8790 0.7500
Mg3 0.1210 0.6250 0.2500
Mg4 0.3750 0.3710 0.7500
Ru1 0.7500 0.2500 0.5000
Ru2 0.0000 0.0000 0.0000
Cr1 0.5000 0.5000 0.0000
Cr2 0.2500 0.7500 0.5000

Results
The value obtained for the magnetization is 0.00 μB/f.u. The calculation puts the calculated formation energy at 0.867 eV/atom. The calculation puts the polymorph energy (0 for the lowest one) at 822 meV per atom.

***

NbVReIr: relaxed, GGA-PBE.

Lattice parameters (Å, degrees): 4.4278 4.4278 4.4278 60.00 60.00 60.00
Positions (direct):
V1 0.0000 0.0000 0.0000
Re1 0.7500 0.7500 0.7500
Nb1 0.5000 0.5000 0.5000
Ir1 0.2500 0.2500 0.2500

Results
The value obtained for the magnetization is 0.01 μB/f.u. The calculation puts the calculated formation energy at -0.220 eV/atom.

***

TbHoSn2: relaxed, GGA-PBE.

Lattice parameters (Å, degrees): 4.4230 4.8827 4.8827 90.00 90.00 90.00
Positions (direct):
Sn1 0.0000 0.0000 0.5000
Sn2 0.0000 0.5000 0.0000
Tb1 0.5000 0.5000 0.5000
Ho1 0.5000 0.0000 0.0000

Results
The value obtained for the magnetization is 0.00 μB/f.u. The calculation puts the calculated formation energy at -0.615 eV/atom.

***

La2Pm5Y4: relaxed, GGA-PBE.

Lattice parameters (Å, degrees): 3.5746 11.8196 9.1505 93.97 101.26 90.00
Positions (direct):
La1 0.2823 0.6429 0.5646
La2 0.7177 0.3571 0.4354
Pm1 0.0945 0.5374 0.1890
Pm2 0.9055 0.4626 0.8110
Pm3 0.5000 0.0000 0.0000
Pm4 0.1761 0.0687 0.3521
Pm5 0.8239 0.9313 0.6479
Y1 0.6399 0.7988 0.2798
Y2 0.9682 0.7423 0.9363
Y3 0.0318 0.2577 0.0637
Y4 0.3601 0.2012 0.7202

Results
The value obtained for the magnetization is 0.00 μB/f.u. The calculation puts the calculated formation energy at 0.063 eV/atom. The calculation puts the polymorph energy (0 for the lowest one) at 0 meV per atom.

***

MnIn2Tc: relaxed, GGA-PBE.

Lattice parameters (Å, degrees): 3.3986 3.4263 6.9475 60.45 90.00 90.00
Last column: magnetic moment on the atom in μB.
Positions (direct):
Mn1 0.5000 0.2500 0.2500  3.35
In1 0.0000 0.4961 0.5040  -0.05
In2 0.0000 0.0039 0.9960  -0.05
Tc1 0.5000 0.7500 0.7500  0.57

Results
The value obtained for the magnetization is 4.00 μB/f.u. The calculation puts the calculated formation energy at 0.290 eV/atom. The calculation puts the polymorph energy (0 for the lowest one) at 95 meV per atom.

***

Mg2ZrAl: relaxed, GGA-PBE.

Lattice parameters (Å, degrees): 3.1154 3.1154 8.5822 90.00 90.00 89.98
Positions (direct):
Mg1 0.0000 0.0000 0.5148
Mg2 0.0000 0.0000 0.9852
Al1 0.5000 0.5000 0.7500
Zr1 0.5000 0.5000 0.2500

Results
The value obtained for the magnetization is 0.00 μB/f.u. The calculation puts the calculated formation energy at 0.005 eV/atom.

***

Ac2LaPb: relaxed, GGA-PBE.

Lattice parameters (Å, degrees): 3.9148 3.9148 12.1467 80.73 80.73 60.00
Positions (direct):
Ac1 0.2548 0.2548 0.2355
Ac2 0.0786 0.0786 0.7641
La1 0.5002 0.5002 0.4993
Pb1 0.6663 0.6663 0.0010

Results
The value obtained for the magnetization is 0.00 μB/f.u. The calculation puts the calculated formation energy at -0.102 eV/atom. The calculation puts the polymorph energy (0 for the lowest one) at 189 meV per atom.

***

AgHgPbCl5: relaxed, GGA-PBE.

Lattice parameters (Å, degrees): 7.5380 7.5380 10.2144 106.62 106.62 102.40
Positions (direct):
Cl1 0.9676 0.3576 0.1812
Cl2 0.0324 0.6424 0.8188
Cl3 0.3547 0.3223 0.0632
Cl4 0.8763 0.1237 0.7500
Cl5 0.3223 0.3547 0.5632
Cl6 0.6777 0.6453 0.4368
Cl7 0.3576 0.9676 0.6812
Cl8 0.6453 0.6777 0.9368
Cl9 0.1237 0.8763 0.2500
Cl10 0.6424 0.0324 0.3188
Hg1 0.6699 0.3301 0.2500
Hg2 0.3301 0.6699 0.7500
Ag1 0.3416 0.6584 0.2500
Ag2 0.6584 0.3416 0.7500
Pb1 0.0000 0.0000 0.5000
Pb2 0.0000 0.0000 0.0000

Results
The electronic total energy is -0.2010 Ry/atom. The value obtained for the magnetization is 0.00 μB/f.u.

***

TiTcNi: relaxed, GGA-PBE.

Lattice parameters (Å, degrees): 5.2120 4.0805 7.9984 90.00 101.23 90.00
Positions (direct):
Ni1 0.4665 0.5000 0.7953
Ni2 0.4665 0.0000 0.2953
Ni3 0.3139 0.5000 0.4734
Ni4 0.3139 0.0000 0.9734
Tc1 0.7991 0.5000 0.4386
Tc2 0.7991 0.0000 0.9386
Tc3 0.6855 0.0000 0.6095
Tc4 0.6855 0.5000 0.1095
Ti1 0.1958 0.0000 0.6449
Ti2 0.1958 0.5000 0.1449
Ti3 0.9772 0.5000 0.7991
Ti4 0.9772 0.0000 0.2991

Results
The value obtained for the magnetization is 0.00 μB/f.u. The calculation puts the calculated formation energy at -0.215 eV/atom. The calculation puts the polymorph energy (0 for the lowest one) at 64 meV per atom.

***

ReRu2S: relaxed, GGA-PBE.

Lattice parameters (Å, degrees): 3.8538 2.8510 10.2093 90.00 90.00 90.00
Positions (direct):
Re1 0.5000 0.5000 0.1415
Re2 0.5000 0.0000 0.6415
Ru1 0.0000 0.0000 0.2674
Ru2 0.0000 0.5000 0.7674
Ru3 0.0000 0.0000 0.0063
Ru4 0.0000 0.5000 0.5063
S1 0.5000 0.0000 0.8651
S2 0.5000 0.5000 0.3651

Results
The electronic total energy is -0.6366 Ry/atom. The value obtained for the magnetization is 0.00 μB/f.u.

***

Ac2PtCl2: relaxed, GGA-PBE.

Lattice parameters (Å, degrees): 4.3717 4.3717 10.9327 78.47 78.47 60.00
Positions (direct):
Ac1 0.3884 0.3884 0.8347
Ac2 0.6116 0.6116 0.1653
Cl1 0.2215 0.2215 0.3354
Cl2 0.7785 0.7785 0.6646
Pt1 0.0000 0.0000 0.0000

Results
The electronic total energy is -0.3934 Ry/atom. The value obtained for the magnetization is 0.00 μB/f.u.

***

BaCa2MgIn4: relaxed, GGA-PBE.

Lattice parameters (Å, degrees): 5.3348 5.3348 10.6871 75.55 75.55 60.00
Positions (direct):
Ba1 0.0000 0.0000 0.0000
In1 0.1228 0.1228 0.6316
In2 0.5999 0.5999 0.2002
In3 0.4001 0.4001 0.7998
In4 0.8772 0.8772 0.3684
Ca1 0.2310 0.2310 0.3071
Ca2 0.7690 0.7690 0.6929
Mg1 0.5000 0.5000 0.5000

Results
The value obtained for the magnetization is 0.00 μB/f.u. The calculation puts the calculated formation energy at -0.340 eV/atom.